Sm2Dy8Hg: optimized geometry, PBE.

Structure (extended XYZ):
```
11
Lattice="5.344 0.000 -1.534 -0.128 6.401 -0.447 -0.006 -0.163 10.052" Properties=species:S:1:pos:R:3 pbc="T T T"
Sm 3.957 4.197 3.710
Sm 1.252 2.041 4.361
Dy 2.201 2.403 7.666
Dy 3.500 0.733 2.116
Dy 4.491 1.145 5.568
Dy 5.015 4.556 7.396
Dy 0.719 5.093 2.503
Dy 1.710 5.505 5.955
Dy 3.009 3.836 0.405
Dy 0.194 1.682 0.675
Hg 2.672 0.000 -0.767
```

Summary:
The energy above the most stable polymorph in this dataset is 0.0 meV per atom. As for the total energy: -4.2757 eV per atom. The value obtained for the formation energy is -0.04 eV/atom. As for the space group: C2/m (12).


SmDy4Hg: optimized geometry, PBE.

Structure (extended XYZ):
```
6
Lattice="-3.235 -1.427 -0.602 0.152 -1.680 3.166 -6.028 11.066 6.162" Properties=species:S:1:pos:R:3 pbc="T T T"
Sm 0.000 0.000 0.000
Dy -2.625 0.436 2.390
Dy -3.873 7.110 3.959
Dy -2.155 3.956 2.203
Dy -6.486 7.523 6.336
Hg -4.556 3.979 4.363
```

Summary:
The energy above the most stable polymorph in this dataset is 0.0 meV per atom. As for the total energy: -4.0480 eV per atom. The value obtained for the formation energy is -0.14 eV/atom. As for the space group: P4/mmm (123).


Sm3DyHg2: optimized geometry, PBE.

Structure (extended XYZ):
```
12
Lattice="5.224 0.000 0.000 0.000 7.087 0.000 0.000 0.000 9.443" Properties=species:S:1:pos:R:3 pbc="T T T"
Sm 0.000 3.446 8.936
Sm 0.000 6.989 0.507
Sm 2.612 4.777 1.661
Sm 2.612 1.233 7.782
Sm 0.000 2.301 3.103
Sm 0.000 5.844 6.341
Dy 2.612 3.644 5.229
Dy 2.612 0.101 4.215
Hg 2.612 5.193 8.012
Hg 2.612 1.650 1.431
Hg 0.000 1.899 6.134
Hg 0.000 5.442 3.310
```

Summary:
The energy above the most stable polymorph in this dataset is 0.0 meV per atom. As for the total energy: -3.5671 eV per atom. The value obtained for the formation energy is -0.34 eV/atom. As for the space group: Pmc2_1 (26).


Sm4DyHg5: optimized geometry, PBE.

Structure (extended XYZ):
```
10
Lattice="3.783 0.000 0.000 0.000 3.783 0.000 0.000 0.000 18.878" Properties=species:S:1:pos:R:3 pbc="T T T"
Sm 0.000 0.000 3.731
Sm 0.000 0.000 7.535
Sm 0.000 0.000 11.343
Sm 0.000 0.000 15.146
Dy 0.000 0.000 0.000
Hg 1.891 1.891 1.783
Hg 1.891 1.891 5.637
Hg 1.891 1.891 9.439
Hg 1.891 1.891 13.240
Hg 1.891 1.891 17.095
```

Summary:
As for the total energy: -2.9719 eV per atom. The value obtained for the formation energy is -0.47 eV/atom. As for the space group: P4/mmm (123).


Sm4Dy3Hg: optimized geometry, PBE.

Structure (extended XYZ):
```
8
Lattice="-0.735 3.544 0.137 -1.249 -0.390 3.377 17.552 3.371 6.882" Properties=species:S:1:pos:R:3 pbc="T T T"
Hg -0.992 1.577 1.757
Sm 15.670 3.009 6.144
Sm 1.882 0.361 0.738
Sm 6.484 1.245 2.543
Sm 11.068 2.125 4.340
Dy 3.197 2.382 3.400
Dy 7.784 3.262 5.199
Dy 12.372 4.143 6.997
```

Summary:
As for the total energy: -4.2233 eV per atom. The value obtained for the formation energy is -0.10 eV/atom. As for the space group: P4/mmm (123).


Sm3Dy2Hg7: optimized geometry, PBE.

Structure (extended XYZ):
```
12
Lattice="-4.010 -2.927 -2.455 3.427 -3.722 -1.160 -4.015 -3.375 10.580" Properties=species:S:1:pos:R:3 pbc="T T T"
Sm -0.291 -3.324 -1.808
Sm -1.070 -5.098 1.578
Sm -3.527 -4.926 5.386
Dy 0.069 -5.603 6.566
Dy -0.657 -1.494 2.853
Hg -1.955 -4.447 8.493
Hg 0.685 -4.201 3.888
Hg 0.000 0.000 0.000
Hg 1.367 -2.650 0.926
Hg -2.401 -2.366 0.496
Hg -2.196 -7.658 6.468
Hg -1.273 -2.896 5.531
```

Summary:
As for the total energy: -2.4478 eV per atom. The value obtained for the formation energy is -0.32 eV/atom. As for the space group: Cmmm (65).


Sm2Dy2Hg: optimized geometry, PBE.

Structure (extended XYZ):
```
10
Lattice="-0.706 4.727 -1.674 -1.771 -1.817 -4.383 -10.614 -1.520 7.846" Properties=species:S:1:pos:R:3 pbc="T T T"
Sm -8.894 1.413 0.083
Sm -2.082 2.354 -0.134
Sm -10.478 2.308 3.278
Sm -4.198 -0.023 1.706
Dy -10.927 -0.964 1.890
Dy -5.354 1.432 -1.356
Dy -7.738 -0.043 3.145
Dy -2.697 -0.918 -1.455
Hg -1.239 1.455 -3.028
Hg -6.812 -0.941 0.218
```

Summary:
The energy above the most stable polymorph in this dataset is 145.9 meV per atom. As for the total energy: -3.8234 eV per atom. The value obtained for the formation energy is -0.03 eV/atom. As for the space group: I4_1/amd (141).


Sm3DyHg: optimized geometry, PBE.

Structure (extended XYZ):
```
10
Lattice="-1.004 -2.245 -6.364 6.604 0.656 1.580 -0.792 -5.545 6.850" Properties=species:S:1:pos:R:3 pbc="T T T"
Sm 5.173 -1.847 -2.243
Sm 2.362 -1.049 0.157
Sm 2.447 -6.085 1.908
Sm 1.885 -3.013 -2.727
Sm -0.364 -5.288 4.309
Sm 2.924 -4.122 4.792
Dy -0.869 -5.600 0.843
Dy 5.678 -1.535 1.223
Hg 3.865 -3.939 -0.101
Hg 0.944 -3.196 2.167
```

Summary:
The energy above the most stable polymorph in this dataset is 80.8 meV per atom. As for the total energy: -3.9121 eV per atom. The value obtained for the formation energy is -0.10 eV/atom. As for the space group: C2/m (12).


SmDy7Hg2: optimized geometry, PBE.

Structure (extended XYZ):
```
10
Lattice="-3.545 3.797 -1.218 -5.990 -6.221 -1.961 0.344 2.992 8.328" Properties=species:S:1:pos:R:3 pbc="T T T"
Sm 0.000 0.000 0.000
Dy -4.484 -4.030 0.485
Dy -1.162 0.802 5.882
Dy -2.032 2.432 1.807
Dy -7.159 -1.863 3.342
Dy -3.575 0.187 -0.700
Dy -5.616 0.382 5.849
Dy -4.595 0.284 2.574
Hg -5.826 -1.506 0.575
Hg -3.365 2.075 4.574
```

Summary:
As for the total energy: -3.4701 eV per atom. The value obtained for the formation energy is 0.28 eV/atom. As for the space group: Cmmm (65).


Sm3DyHg4: optimized geometry, PBE.

Structure (extended XYZ):
```
8
Lattice="-2.891 0.004 2.418 1.042 -3.399 1.251 8.785 6.555 10.493" Properties=species:S:1:pos:R:3 pbc="T T T"
Hg 7.748 5.781 9.254
Hg 1.037 0.774 1.239
Hg 3.288 2.453 3.927
Hg 5.497 4.102 6.566
Sm 1.250 -0.075 4.431
Sm 3.468 1.580 7.081
Sm 5.687 3.235 9.730
Dy -0.924 -1.698 1.834
```

Summary:
As for the total energy: -2.9696 eV per atom. The value obtained for the formation energy is -0.47 eV/atom. As for the space group: P4/mmm (123).


SmDyHg2: optimized geometry, PBE.

Structure (extended XYZ):
```
4
Lattice="-0.142 -2.800 -2.469 2.911 1.464 -1.828 4.760 -4.059 4.328" Properties=species:S:1:pos:R:3 pbc="T T T"
Hg 3.630 -3.095 3.300
Hg 1.131 -0.964 1.028
Sm 3.764 -2.697 0.015
Dy 1.384 -0.668 -2.149
```

Summary:
The energy above the most stable polymorph in this dataset is 0.0 meV per atom. As for the total energy: -2.9580 eV per atom. The value obtained for the formation energy is -0.48 eV/atom. As for the space group: P4/mmm (123).


Sm3DyHg5: optimized geometry, PBE.

Structure (extended XYZ):
```
18
Lattice="6.604 0.000 0.000 0.000 7.981 -4.608 0.000 0.000 9.215" Properties=species:S:1:pos:R:3 pbc="T T T"
Sm 4.953 2.962 1.710
Sm 4.953 7.981 1.188
Sm 4.953 5.019 -2.898
Sm 1.651 5.019 2.898
Sm 1.651 0.000 3.420
Sm 1.651 2.962 -1.710
Dy 0.000 0.000 0.000
Dy 3.302 0.000 0.000
Hg 0.000 5.320 0.000
Hg 3.302 2.660 4.608
Hg 0.000 2.660 4.608
Hg 3.302 5.320 0.000
Hg 4.953 5.625 3.248
Hg 4.953 7.981 -1.888
Hg 4.953 2.355 -1.360
Hg 1.651 2.356 1.360
Hg 1.651 0.000 6.495
Hg 1.651 5.625 -3.248
```

Summary:
As for the total energy: -2.6745 eV per atom. The value obtained for the formation energy is -0.42 eV/atom. As for the space group: P6_3/mcm (193).


SmDyHg2: optimized geometry, PBE.

Structure (extended XYZ):
```
4
Lattice="3.812 0.000 0.000 1.906 3.301 0.000 1.906 1.100 9.155" Properties=species:S:1:pos:R:3 pbc="T T T"
Sm 3.812 2.201 0.006
Dy 3.812 2.201 4.571
Hg 1.906 1.100 6.820
Hg 1.906 1.100 2.335
```

Summary:
The energy above the most stable polymorph in this dataset is 152.9 meV per atom. As for the total energy: -2.8051 eV per atom. The value obtained for the formation energy is -0.32 eV/atom. As for the space group: R3m (160).


Sm2Dy8Hg: optimized geometry, PBE.

Structure (extended XYZ):
```
11
Lattice="-1.548 -0.980 5.157 4.780 -5.727 0.346 4.536 8.650 0.102" Properties=species:S:1:pos:R:3 pbc="T T T"
Sm 3.012 2.768 4.334
Sm 4.756 -0.826 1.270
Dy 5.625 2.527 2.168
Dy 4.403 -3.280 3.602
Dy 5.506 0.000 4.556
Dy 4.201 6.214 5.345
Dy 2.262 1.943 1.048
Dy 3.365 5.223 2.002
Dy 2.143 -0.584 3.436
Dy 3.568 -4.271 0.259
Hg -0.774 -0.490 2.578
```

Summary:
The energy above the most stable polymorph in this dataset is 54.0 meV per atom. As for the total energy: -4.2217 eV per atom. The value obtained for the formation energy is 0.01 eV/atom. As for the space group: C2/m (12).


Sm8DyHg2: optimized geometry, PBE.

Structure (extended XYZ):
```
11
Lattice="-2.289 2.656 4.459 0.343 -8.258 3.038 7.466 4.571 -0.946" Properties=species:S:1:pos:R:3 pbc="T T T"
Sm 3.355 -2.001 6.103
Sm 4.963 0.894 5.204
Sm 4.001 -1.417 2.590
Sm 0.795 -4.055 4.374
Sm 4.725 3.024 2.176
Sm 1.519 0.387 3.961
Sm 0.557 -1.924 1.347
Sm 2.164 0.971 0.448
Dy -1.145 1.328 2.229
Hg 5.289 0.649 0.272
Hg 2.520 -4.336 1.820
```

Summary:
As for the total energy: -3.9618 eV per atom. The value obtained for the formation energy is -0.06 eV/atom. As for the space group: C2/m (12).


SmDy8Hg2: optimized geometry, PBE.

Structure (extended XYZ):
```
11
Lattice="5.536 -0.220 -0.331 -1.250 8.531 -0.618 -1.250 -3.855 7.635" Properties=species:S:1:pos:R:3 pbc="T T T"
Sm 2.768 -0.110 -0.165
Dy 2.956 4.931 4.327
Dy 2.956 2.094 6.217
Dy 0.152 2.739 4.111
Dy 1.518 5.629 1.077
Dy 1.518 -1.174 5.609
Dy 2.885 1.716 2.575
Dy 0.080 2.361 0.470
Dy 0.080 -0.476 2.360
Hg -1.250 -0.063 5.108
Hg -1.250 4.739 1.909
```

Summary:
As for the total energy: -3.8797 eV per atom. The value obtained for the formation energy is -0.05 eV/atom. As for the space group: C2/m (12).


Sm3DyHg2: optimized geometry, PBE.

Structure (extended XYZ):
```
12
Lattice="7.221 0.000 0.000 0.000 7.583 0.000 -3.610 -3.791 7.354" Properties=species:S:1:pos:R:3 pbc="T T T"
Sm 3.610 1.896 0.000
Sm 3.610 5.687 0.000
Sm 3.610 -1.896 4.009
Sm 0.000 1.896 3.345
Sm 0.000 5.687 3.345
Sm 3.610 1.896 4.009
Dy 0.000 3.791 0.000
Dy 0.000 0.000 0.000
Hg 1.454 0.000 5.319
Hg 5.064 0.000 2.035
Hg -1.454 3.791 5.319
Hg 2.156 3.791 2.035
```

Summary:
The energy above the most stable polymorph in this dataset is 259.2 meV per atom. As for the total energy: -3.3079 eV per atom. The value obtained for the formation energy is -0.08 eV/atom. As for the space group: Ibam (72).


SmDy2Hg4: optimized geometry, PBE.

Structure (extended XYZ):
```
7
Lattice="4.876 0.000 1.523 2.200 4.352 1.523 -0.212 -0.130 9.243" Properties=species:S:1:pos:R:3 pbc="T T T"
Sm 0.000 0.000 0.000
Dy 5.201 3.198 9.050
Dy 1.664 1.023 3.240
Hg 6.098 3.750 6.180
Hg 0.767 0.472 6.110
Hg 4.359 2.680 3.180
Hg 2.506 1.541 9.109
```

Summary:
The energy above the most stable polymorph in this dataset is 0.0 meV per atom. As for the total energy: -2.4912 eV per atom. The value obtained for the formation energy is -0.33 eV/atom. As for the space group: R-3m (166).


SmDy2Hg8: optimized geometry, PBE.

Structure (extended XYZ):
```
11
Lattice="-2.488 1.576 -3.987 -6.213 -2.328 2.956 2.541 6.825 4.192" Properties=species:S:1:pos:R:3 pbc="T T T"
Sm -1.244 0.788 -1.994
Dy -2.650 4.334 0.285
Dy -3.509 1.739 2.877
Hg -2.312 4.872 3.368
Hg -6.405 1.349 1.448
Hg -5.385 4.223 1.948
Hg -1.705 7.320 0.875
Hg -0.774 1.849 1.214
Hg 0.246 4.724 1.713
Hg -3.847 1.201 -0.206
Hg -4.454 -1.247 2.286
```

Summary:
The energy above the most stable polymorph in this dataset is 0.0 meV per atom. As for the total energy: -1.8088 eV per atom. The value obtained for the formation energy is -0.32 eV/atom. As for the space group: C2/m (12).


SmDyHg2: optimized geometry, PBE.

Structure (extended XYZ):
```
4
Lattice="-5.280 0.401 0.475 -3.011 -4.381 -0.023 -2.397 -1.602 4.467" Properties=species:S:1:pos:R:3 pbc="T T T"
Hg -2.672 -1.395 1.229
Hg -8.015 -4.186 3.688
Sm 0.000 0.000 0.000
Dy -5.344 -2.791 2.459
```

Summary:
The energy above the most stable polymorph in this dataset is 3.7 meV per atom. As for the total energy: -2.9543 eV per atom. The value obtained for the formation energy is -0.47 eV/atom. As for the space group: Fm-3m (225).